First-principles (meta-GGA SCAN) data for Al2InSb at its PBEsol-relaxed geometry, as listed in Alexandria.

```
Al2InSb
1.0
4.823 0.000 0.000
-2.411 4.437 0.293
0.000 2.343 4.216
Al In Sb
2 1 1
direct
0.750 0.500 0.750 Al
0.250 0.500 0.250 Al
0.500 0.000 0.500 In
0.000 0.000 0.000 Sb
```

Symmetry: I4/mmm
Energy above the most stable polymorph in this dataset (meV per atom): 57.0
V (Å³ per cell): 87
Formation energy without anion corrections (kJ/mol of atoms): 21.5

=====

First-principles (meta-GGA SCAN) data for YSc2Tl at its PBEsol-relaxed geometry, as listed in Alexandria.

```
YSc2Tl
1.0
4.502 0.000 0.000
0.000 4.502 0.000
-2.251 -2.251 4.747
Sc Tl Y
2 1 1
direct
0.250 0.750 0.500 Sc
0.750 0.250 0.500 Sc
0.500 0.500 0.000 Tl
0.000 0.000 0.000 Y
```

Symmetry: I4/mmm
Energy above the most stable polymorph in this dataset (meV per atom): 86.1
V (Å³ per cell): 96
Calculated formation energy (eV per atom): -0.2573

=====

First-principles (meta-GGA SCAN) data for YZrTa3 at its PBEsol-relaxed geometry, as listed in Alexandria.

```
YZrTa3
1.0
4.902 0.000 0.000
0.000 4.902 0.000
0.000 0.000 4.902
Y Ta Zr
1 3 1
direct
0.500 0.500 0.500 Y
0.000 0.000 0.500 Ta
0.000 0.500 0.000 Ta
0.500 0.000 0.000 Ta
0.000 0.000 0.000 Zr
```

Symmetry: Pm-3m
Energy above the most stable polymorph in this dataset (meV per atom): 0.0
V (Å³ per cell): 118
Calculated formation energy (eV per atom): 1.4449

=====

First-principles (meta-GGA SCAN) data for GePtS2N at its PBEsol-relaxed geometry, as listed in Alexandria.

```
GePtS2N
1.0
-2.950 0.143 2.105
1.309 -4.218 2.121
2.532 2.485 3.379
Pt N Ge S
1 1 1 2
direct
0.000 0.000 0.000 Pt
0.500 0.000 0.000 N
0.500 0.500 0.500 Ge
0.000 0.000 0.500 S
0.000 0.500 0.000 S
```

Symmetry: P4/mmm
V (Å³ per cell): 87
Formation energy without anion corrections (kJ/mol of atoms): 54.9

=====

Going through the records in order, we get E_tot values of -21.315; -32.426; -50.213; -22.996 eV/atom.
Going through the records in order, we get Fermi-level density of states values of 1.98; 3.47; 6.26; 2.04 states/eV/f.u..